Entry from Alexandria via LeMat-Bulk: a geometry-optimized Li3Fe3P4O16 structure (PBE+U).

Lattice parameters (Å, degrees): 10.117 10.117 10.473 91.74 91.74 37.18
Atoms (fractional coordinates):
Li: 0.036 0.964 0.750
Li: 0.330 0.536 0.447
Li: 0.464 0.670 0.053
Li: 0.536 0.330 0.947
Li: 0.670 0.464 0.553
Li: 0.964 0.036 0.250
Fe: 0.000 0.500 0.000
Fe: 0.133 0.176 0.742
Fe: 0.176 0.133 0.242
Fe: 0.500 0.000 0.500
Fe: 0.824 0.867 0.758
Fe: 0.867 0.824 0.258
P: 0.080 0.753 0.006
P: 0.247 0.920 0.494
P: 0.279 0.322 0.750
P: 0.322 0.279 0.250
P: 0.678 0.721 0.750
P: 0.721 0.678 0.250
P: 0.753 0.080 0.506
P: 0.920 0.247 0.994
O: 0.028 0.127 0.863
O: 0.079 0.093 0.601
O: 0.093 0.079 0.101
O: 0.127 0.028 0.363
O: 0.132 0.557 0.722
O: 0.144 0.553 0.000
O: 0.184 0.302 0.855
O: 0.186 0.509 0.291
O: 0.220 0.273 0.136
O: 0.273 0.220 0.636
O: 0.288 0.665 0.985
O: 0.302 0.184 0.355
O: 0.335 0.712 0.515
O: 0.443 0.868 0.778
O: 0.447 0.856 0.500
O: 0.491 0.814 0.209
O: 0.509 0.186 0.791
O: 0.553 0.144 0.500
O: 0.557 0.132 0.222
O: 0.665 0.288 0.485
O: 0.698 0.816 0.645
O: 0.712 0.335 0.015
O: 0.727 0.780 0.364
O: 0.780 0.727 0.864
O: 0.814 0.491 0.709
O: 0.816 0.698 0.145
O: 0.856 0.447 0.000
O: 0.868 0.443 0.278
O: 0.873 0.972 0.637
O: 0.907 0.921 0.899
O: 0.921 0.907 0.399
O: 0.972 0.873 0.137

The magnetic moment is 0.429 μB/atom. The calculation puts the energy above the most stable polymorph in this dataset at 90 meV per atom.